A relaxed GdScCoCu crystal, computed with PBE.

Geometry as extended XYZ:
```
4
Lattice="0.000 3.322 3.322 3.322 0.000 3.322 3.322 3.322 0.000" Properties=species:S:1:pos:R:3 pbc="T T T"
Gd 0.000 0.000 0.000
Sc 3.322 3.322 3.322
Co 1.661 1.661 1.661
Cu 4.982 4.982 4.982
```

Summary:
ΔH_f (0 K) = -0.748 eV per formula unit
SG = F-43m, No. 216
magnetic moment = 6.80 Bohr magnetons per cell

---

A relaxed BaLaSeN2 crystal, computed with PBE.

Geometry as extended XYZ:
```
5
Lattice="4.509 0.000 0.000 0.000 4.509 0.000 0.000 0.000 6.120" Properties=species:S:1:pos:R:3 pbc="T T T"
Ba 0.000 0.000 0.000
La 2.254 2.254 3.060
Se 2.254 2.254 0.000
N 0.000 2.254 3.060
N 2.254 0.000 3.060
```

Summary:
E above lowest polymorph = 0.0 meV/atom
SG = P4/mmm, No. 123
E_form (uncorrected) = -1.4 eV per formula unit
magnetic moment = 0.46 Bohr magnetons per cell

---

A relaxed Hf3ZrNi crystal, computed with PBE.

Geometry as extended XYZ:
```
10
Lattice="6.748 -2.929 0.000 6.748 2.929 0.000 -1.569 0.000 5.115" Properties=species:S:1:pos:R:3 pbc="T T T"
Hf 3.850 1.462 3.339
Hf 1.291 0.000 4.621
Hf 8.077 1.462 1.776
Hf 3.850 -1.462 3.339
Hf 10.635 0.000 0.495
Hf 8.077 -1.462 1.776
Zr 5.491 0.000 1.005
Zr 6.435 0.000 4.110
Ni 0.000 0.000 0.000
Ni -0.785 0.000 2.558
```

Summary:
ΔH_f (0 K) = -0.438 eV per formula unit
E above lowest polymorph = 0.0 meV/atom
SG = C2/m, No. 12
magnetic moment = 0.00 Bohr magnetons per cell

---

A relaxed AcInAg2Rh crystal, computed with PBE.

Geometry as extended XYZ:
```
5
Lattice="-2.033 2.143 6.683 2.033 -2.143 6.683 2.033 2.143 -6.683" Properties=species:S:1:pos:R:3 pbc="T T T"
Ac 0.000 0.000 0.000
In 2.033 0.000 3.700
Ag 0.000 0.000 8.411
Ag 0.000 2.143 3.765
Rh 0.000 0.000 5.661
```

Summary:
ΔH_f (0 K) = -1.735 eV per formula unit
SG = Imm2, No. 44
magnetic moment = 0.00 Bohr magnetons per cell

---

A relaxed YBe2Tc crystal, computed with PBE.

Geometry as extended XYZ:
```
4
Lattice="3.203 0.000 0.000 0.000 3.203 0.000 0.000 0.000 6.177" Properties=species:S:1:pos:R:3 pbc="T T T"
Y 0.000 0.000 0.000
Be 0.000 0.000 3.326
Be 1.601 1.601 2.086
Tc 1.601 1.601 4.221
```

Summary:
ΔH_f (0 K) = 1.008 eV per formula unit
E above lowest polymorph = 339.5 meV/atom
SG = P4mm, No. 99
magnetic moment = 0.00 Bohr magnetons per cell

---

A relaxed RbBPO2 crystal, computed with PBE.

Geometry as extended XYZ:
```
5
Lattice="4.184 0.000 0.000 0.000 4.184 0.000 0.000 0.000 7.091" Properties=species:S:1:pos:R:3 pbc="T T T"
Rb 0.000 0.000 0.000
B 2.092 2.092 3.545
P 0.000 0.000 3.545
O 0.000 2.092 0.000
O 2.092 0.000 0.000
```

Summary:
E above lowest polymorph = 1761.3 meV/atom
SG = P4/mmm, No. 123
E_form (uncorrected) = 10.5 eV per formula unit
magnetic moment = 2.20 Bohr magnetons per cell

---

A relaxed Ba2AcAu crystal, computed with PBE.

Geometry as extended XYZ:
```
4
Lattice="2.132 1.231 12.343 -2.132 1.231 12.343 0.000 -2.462 12.343" Properties=species:S:1:pos:R:3 pbc="T T T"
Ba 0.000 0.000 4.066
Ba 0.000 0.000 32.962
Ac 0.000 0.000 0.000
Au 0.000 0.000 18.514
```

Summary:
ΔH_f (0 K) = -0.413 eV per formula unit
E above lowest polymorph = 173.2 meV/atom
SG = R-3m, No. 166
magnetic moment = 0.00 Bohr magnetons per cell

---

A relaxed Pr2Sn2Hg crystal, computed with PBE.

Geometry as extended XYZ:
```
10
Lattice="5.974 -2.345 0.000 5.974 2.345 0.000 -4.833 0.000 10.272" Properties=species:S:1:pos:R:3 pbc="T T T"
Pr -0.812 0.000 1.815
Pr -0.763 0.000 6.248
Pr 7.879 0.000 4.024
Pr 7.928 0.000 8.457
Sn -0.250 0.000 9.608
Sn 2.483 0.000 6.191
Sn 4.633 0.000 4.081
Sn 7.366 0.000 0.664
Hg 2.737 0.000 1.750
Hg 4.379 0.000 8.522
```

Summary:
ΔH_f (0 K) = -3.166 eV per formula unit
E above lowest polymorph = 4.0 meV/atom
SG = C2/m, No. 12
magnetic moment = 0.00 Bohr magnetons per cell